The following is a DFT calculation (PBE) of a relaxed CaAg2Pt crystal.

Cell lengths 4.1450, 4.1560, 4.4523 Å; angles 90.00, 90.00, 90.00 degrees
Last column: nearest neighbours and their distance in Å.
Atoms (fractional coordinates):
1 Ca 0.5000 0.0000 0.5000  4 Pt 2.93, 8 Ag 3.04-3.05
2 Ag 0.0000 0.0000 0.0000  4 Ag 2.93, 4 Ca 3.04, 4 Pt 3.05
3 Ag 0.5000 0.5000 0.0000  4 Ag 2.93, 4 Pt 3.04, 4 Ca 3.05
4 Pt 0.0000 0.5000 0.5000  4 Ca 2.93, 8 Ag 3.04-3.05

Summary:
The value obtained for the total moment is 0.000 μB/f.u. As for the formation energy: -0.36 eV/atom. The calculated total energy comes out at -15.2 eV/f.u.